Pa2CdC after structural relaxation, computed with PBE.

Properties
- Total magnetization: 0.00 μB/f.u.
- Distance to the lowest polymorph of the same formula: 0 meV/atom
- ΔH_f (0 K): -0.81 eV per formula unit
- V: 252 Å³/cell

a b c (Å): 3.3412 3.3412 26.0410
angles (deg): 90.00 90.00 120.00
Space group R3m (No. 160, hexagonal axes)
Unique sites:
Pa  0.0000  0.0000  0.0000
Pa  0.0000  0.0000  0.2184
Cd  0.0000  0.0000  0.4425
C  0.0000  0.0000  0.6079